Version a
BaCl3O: optimized geometry, PBE.

Cell lengths 4.7915, 4.7915, 4.7915 Å; angles 90.00, 90.00, 90.00 degrees
Closest atoms and distances in Å follow each position.
Sites, in units of the cell vectors:
Ba1 0.0000 0.0000 0.0000  12 Cl 3.39
Cl1 0.0000 0.5000 0.5000  2 O 2.40
Cl2 0.5000 0.0000 0.5000  2 O 2.40
Cl3 0.5000 0.5000 0.0000  2 O 2.40
O1 0.5000 0.5000 0.5000  6 Cl 2.40

***

Version b
BaCl3O: optimized geometry, PBE.

Cell lengths 6.1163, 6.1163, 6.1163 Å; angles 90.00, 90.00, 90.00 degrees
Closest atoms and distances in Å follow each position.
Sites, in units of the cell vectors:
Ba1 0.0000 0.0000 0.0000  6 Cl 3.06
Cl1 0.0000 0.0000 0.5000  2 Ba 3.06
Cl2 0.0000 0.5000 0.0000  2 Ba 3.06
Cl3 0.5000 0.0000 0.0000  2 Ba 3.06
O1 0.5000 0.5000 0.5000  12 Cl 4.32

***

Which of them is the most stable? Correct choice: version a.

***

Version a
BaCl2O: optimized geometry, PBE.

Cell lengths 5.0651, 5.0651, 13.6124 Å; angles 90.00, 90.00, 120.00 degrees
Closest atoms and distances in Å follow each position.
Sites, in units of the cell vectors:
Ba1 0.0000 0.0000 0.0000  8 Cl 3.19-3.26
Ba2 0.3333 0.6667 0.6667  8 Cl 3.19-3.26
Ba3 0.6667 0.3333 0.3333  8 Cl 3.19-3.26
Cl1 0.0000 0.0000 0.2395  3 O 3.09, 4 Ba 3.19-3.26
Cl2 0.0000 0.0000 0.7605  3 O 3.09, 4 Ba 3.19-3.26
Cl3 0.3333 0.6667 0.4272  3 O 3.09, 4 Ba 3.19-3.26
Cl4 0.3333 0.6667 0.9062  3 O 3.09, 4 Ba 3.19-3.26
Cl5 0.6667 0.3333 0.0938  3 O 3.09, 4 Ba 3.19-3.26
Cl6 0.6667 0.3333 0.5728  3 O 3.09, 4 Ba 3.19-3.26
O1 0.0000 0.0000 0.5000  6 Cl 3.09
O2 0.3333 0.6667 0.1667  6 Cl 3.09
O3 0.6667 0.3333 0.8333  6 Cl 3.09

***

Version b
BaCl2O: optimized geometry, PBE.

Cell lengths 4.1524, 4.1524, 22.6582 Å; angles 90.00, 90.00, 90.00 degrees
Closest atoms and distances in Å follow each position.
Sites, in units of the cell vectors:
Ba1 0.0000 0.0000 0.0000  4 O 2.94, 4 Cl 3.19
Ba2 0.0000 0.5000 0.2500  4 O 2.94, 4 Cl 3.19
Ba3 0.5000 0.0000 0.7500  4 O 2.94, 4 Cl 3.19
Ba4 0.5000 0.5000 0.5000  4 O 2.94, 4 Cl 3.19
Cl1 0.2476 0.2500 0.6250  4 Cl 2.92-2.95, 2 O 3.19, 2 Ba 3.19
Cl2 0.2500 0.7476 0.8750  4 Cl 2.92-2.95, 2 O 3.19, 2 Ba 3.19
Cl3 0.2500 0.7524 0.3750  4 Cl 2.92-2.95, 2 O 3.19, 2 Ba 3.19
Cl4 0.2524 0.2500 0.1250  4 Cl 2.92-2.95, 2 O 3.19, 2 Ba 3.19
Cl5 0.7476 0.7500 0.1250  4 Cl 2.92-2.95, 2 O 3.19, 2 Ba 3.19
Cl6 0.7500 0.2476 0.3750  4 Cl 2.92-2.95, 2 O 3.19, 2 Ba 3.19
Cl7 0.7500 0.2524 0.8750  4 Cl 2.92-2.95, 2 O 3.19, 2 Ba 3.19
Cl8 0.7524 0.7500 0.6250  4 Cl 2.92-2.95, 2 O 3.19, 2 Ba 3.19
O1 0.0000 0.0000 0.5000  4 Ba 2.94, 4 Cl 3.19
O2 0.0000 0.5000 0.7500  4 Ba 2.94, 4 Cl 3.19
O3 0.5000 0.0000 0.2500  4 Ba 2.94, 4 Cl 3.19
O4 0.5000 0.5000 0.0000  4 Ba 2.94, 4 Cl 3.19

***

Version c
BaCl2O: optimized geometry, PBE.

Cell lengths 11.1744, 5.1601, 8.1697 Å; angles 90.00, 90.00, 90.00 degrees
Closest atoms and distances in Å follow each position.
Sites, in units of the cell vectors:
Ba1 0.1779 0.2500 0.1304  2 O 2.74
Ba2 0.3221 0.7500 0.6304  2 O 2.74
Ba3 0.6779 0.2500 0.3696  2 O 2.74
Ba4 0.8221 0.7500 0.8696  2 O 2.74
Cl1 0.1103 0.7500 0.8962  1 O 2.54
Cl2 0.1175 0.7500 0.3568  1 O 2.43
Cl3 0.3825 0.2500 0.8568  1 O 2.43
Cl4 0.3897 0.2500 0.3962  1 O 2.54
Cl5 0.6103 0.7500 0.6038  1 O 2.54
Cl6 0.6175 0.7500 0.1432  1 O 2.43
Cl7 0.8825 0.2500 0.6432  1 O 2.43
Cl8 0.8897 0.2500 0.1038  1 O 2.54
O1 0.2403 0.2500 0.6311  2 Cl 2.43-2.54
O2 0.2597 0.7500 0.1311  2 Cl 2.43-2.54
O3 0.7403 0.2500 0.8689  2 Cl 2.43-2.54
O4 0.7597 0.7500 0.3689  2 Cl 2.43-2.54

***

Which of them is the most stable? Correct choice: version c.

***

Version a
BaClO2: optimized geometry, PBE.

Cell lengths 4.8231, 4.8231, 14.1330 Å; angles 90.00, 90.00, 90.00 degrees
Closest atoms and distances in Å follow each position.
Sites, in units of the cell vectors:
Ba1 0.0000 0.0000 0.0000  4 O 2.65
Ba2 0.0000 0.5000 0.2500  4 O 2.65
Ba3 0.5000 0.0000 0.7500  4 O 2.65
Ba4 0.5000 0.5000 0.5000  4 O 2.65
Cl1 0.0000 0.0000 0.5000  4 O 2.30
Cl2 0.0000 0.5000 0.7500  4 O 2.30
Cl3 0.5000 0.0000 0.2500  4 O 2.30
Cl4 0.5000 0.5000 0.0000  4 O 2.30
O1 0.1740 0.2500 0.6250  2 Cl 2.30
O2 0.2500 0.6740 0.8750  2 Cl 2.30
O3 0.2500 0.8260 0.3750  2 Cl 2.30
O4 0.3260 0.2500 0.1250  2 Cl 2.30
O5 0.6740 0.7500 0.1250  2 Cl 2.30
O6 0.7500 0.1740 0.3750  2 Cl 2.30
O7 0.7500 0.3260 0.8750  2 Cl 2.30
O8 0.8260 0.7500 0.6250  2 Cl 2.30

***

Version b
BaClO2: optimized geometry, PBE.

Cell lengths 6.6647, 6.6647, 6.6647 Å; angles 90.00, 90.00, 90.00 degrees
Closest atoms and distances in Å follow each position.
Sites, in units of the cell vectors:
Ba1 0.0000 0.0000 0.0000  8 O 2.89
Ba2 0.0000 0.5000 0.5000  8 O 2.89
Ba3 0.5000 0.0000 0.5000  8 O 2.89
Ba4 0.5000 0.5000 0.0000  8 O 2.89
Cl1 0.0000 0.0000 0.5000  8 O 2.89
Cl2 0.0000 0.5000 0.0000  8 O 2.89
Cl3 0.5000 0.0000 0.0000  8 O 2.89
Cl4 0.5000 0.5000 0.5000  8 O 2.89
O1 0.2500 0.2500 0.2500  4 Ba 2.89, 4 Cl 2.89
O2 0.2500 0.2500 0.7500  4 Ba 2.89, 4 Cl 2.89
O3 0.2500 0.7500 0.2500  4 Ba 2.89, 4 Cl 2.89
O4 0.2500 0.7500 0.7500  4 Ba 2.89, 4 Cl 2.89
O5 0.7500 0.2500 0.2500  4 Ba 2.89, 4 Cl 2.89
O6 0.7500 0.2500 0.7500  4 Ba 2.89, 4 Cl 2.89
O7 0.7500 0.7500 0.2500  4 Cl 2.89, 4 Ba 2.89
O8 0.7500 0.7500 0.7500  4 Ba 2.89, 4 Cl 2.89

***

Which of them is the most stable? Correct choice: version b.

***

Version a
BaPbClO2: optimized geometry, PBE.

Cell lengths 4.6268, 4.6268, 8.3055 Å; angles 90.00, 90.00, 90.00 degrees
Closest atoms and distances in Å follow each position.
Sites, in units of the cell vectors:
Ba1 0.0000 0.0000 0.0000  4 O 2.31
Pb1 0.0000 0.0000 0.5000  4 Cl 3.27
Cl1 0.5000 0.5000 0.5000  4 Pb 3.27
O1 0.0000 0.5000 0.0000  2 Ba 2.31
O2 0.5000 0.0000 0.0000  2 Ba 2.31

***

Version b
BaPbClO2: optimized geometry, PBE.

Cell lengths 7.2203, 4.4725, 8.4210 Å; angles 90.00, 92.69, 90.00 degrees
Closest atoms and distances in Å follow each position.
Sites, in units of the cell vectors:
Ba1 0.2017 0.2500 0.3919  4 O 2.64-2.92
Ba2 0.7983 0.7500 0.6081  4 O 2.64-2.92
Pb1 0.1269 0.2500 0.8724  4 O 2.14-2.36
Pb2 0.8731 0.7500 0.1276  4 O 2.14-2.36
Cl1 0.4919 0.2500 0.7060  1 Pb 3.04, 3 Ba 3.28-3.30
Cl2 0.5081 0.7500 0.2940  1 Pb 3.04, 3 Ba 3.28-3.30
O1 0.0091 0.7500 0.3584  1 Pb 2.14
O2 0.0300 0.7500 0.9023  3 Pb 2.25-2.36
O3 0.9700 0.2500 0.0977  3 Pb 2.25-2.36
O4 0.9909 0.2500 0.6416  1 Pb 2.14

***

Which of them is the most stable? Correct choice: version b.

***

Version a
BaSCl2O: optimized geometry, PBE.

Cell lengths 4.8191, 4.8191, 4.4852 Å; angles 90.00, 90.00, 90.00 degrees
Closest atoms and distances in Å follow each position.
Sites, in units of the cell vectors:
Ba1 0.0000 0.0000 0.0000  8 Cl 3.29, 4 S 3.41
S1 0.5000 0.5000 0.0000  2 O 2.24
Cl1 0.0000 0.5000 0.5000  2 O 2.41
Cl2 0.5000 0.0000 0.5000  2 O 2.41
O1 0.5000 0.5000 0.5000  2 S 2.24, 4 Cl 2.41

***

Version b
BaSCl2O: optimized geometry, PBE.

Cell lengths 5.9960, 5.9960, 6.7568 Å; angles 90.00, 90.00, 90.00 degrees
Closest atoms and distances in Å follow each position.
Sites, in units of the cell vectors:
Ba1 0.0000 0.0000 0.0000  4 Cl 3.00
S1 0.0000 0.0000 0.5000  2 Ba 3.38
Cl1 0.0000 0.5000 0.0000  2 Ba 3.00
Cl2 0.5000 0.0000 0.0000  2 Ba 3.00
O1 0.5000 0.5000 0.5000  4 S 4.24, 8 Cl 4.52

***

Which of them is the most stable? Correct choice: version a.